Entry 1:
{"formula": "AcTbAlZn", "functional": "GGA-PBE", "state": "optimized geometry", "spacegroup": "F-43m", "n_ef_per_ev_cell": 4.5, "energy_ev_per_atom": -3.69, "magmom_total_mub_per_cell": 0.00, "lattice": [[-0.656, -2.147, 4.870], [4.281, -1.282, 2.964], [1.188, 2.864, 4.375]], "species": ["Al", "Tb", "Ac", "Zn"], "frac_coords": [[0.750, 0.750, 0.750], [0.000, 0.000, 0.000], [0.500, 0.500, 0.500], [0.250, 0.250, 0.250]]}

***

Entry 2:
{"formula": "AcTb2Al2Zn2", "functional": "GGA-PBE", "state": "optimized geometry", "spacegroup": "R-3m", "n_ef_per_ev_cell": 4.3, "energy_ev_per_atom": -3.64, "magmom_total_mub_per_cell": 0.00, "lattice": [[4.580, 0.000, 0.000], [2.290, 3.966, 0.000], [2.290, 1.322, 9.713]], "species": ["Tb", "Tb", "Zn", "Zn", "Al", "Al", "Ac"], "frac_coords": [[0.869, 0.869, 0.393], [0.131, 0.131, 0.607], [0.587, 0.587, 0.240], [0.413, 0.413, 0.760], [0.254, 0.254, 0.239], [0.746, 0.746, 0.761], [0.000, 0.000, 0.000]]}

***

Entry 3:
{"formula": "AcAlTc", "functional": "GGA-PBE", "state": "optimized geometry", "spacegroup": "P2_1/c", "n_ef_per_ev_cell": 14.8, "energy_ev_per_atom": -6.25, "magmom_total_mub_per_cell": 0.00, "lattice": [[6.646, 0.000, 0.000], [0.000, 6.635, 0.473], [0.000, -0.497, 6.801]], "species": ["Al", "Al", "Al", "Al", "Ac", "Ac", "Ac", "Ac", "Tc", "Tc", "Tc", "Tc"], "frac_coords": [[0.995, 0.250, 0.347], [0.495, 0.250, 0.653], [0.505, 0.750, 0.347], [0.005, 0.750, 0.653], [0.011, 0.750, 0.191], [0.489, 0.250, 0.191], [0.989, 0.250, 0.809], [0.511, 0.750, 0.809], [0.750, 0.000, 0.508], [0.250, 0.500, 0.492], [0.250, 0.000, 0.492], [0.750, 0.500, 0.508]]}

***

Entry 4:
{"formula": "Ac2AlTc", "functional": "GGA-PBE", "state": "optimized geometry", "spacegroup": "R-3m", "n_ef_per_ev_cell": 7.3, "energy_ev_per_atom": -4.69, "magmom_total_mub_per_cell": 0.00, "lattice": [[3.596, 0.000, 0.000], [1.798, 3.114, 0.000], [1.798, 1.038, 10.630]], "species": ["Ac", "Ac", "Tc", "Al"], "frac_coords": [[0.083, 0.083, 0.750], [0.917, 0.917, 0.250], [0.000, 0.000, 0.000], [0.500, 0.500, 0.500]]}

***

Entry 5:
{"formula": "AcAl4Tc", "functional": "GGA-PBE", "state": "optimized geometry", "spacegroup": "Pmma", "n_ef_per_ev_cell": 10.1, "energy_ev_per_atom": -5.28, "magmom_total_mub_per_cell": 0.00, "lattice": [[-1.768, 0.243, 3.839], [2.635, -6.681, 1.637], [6.671, 3.332, 2.861]], "species": ["Ac", "Ac", "Al", "Al", "Al", "Al", "Al", "Al", "Al", "Al", "Tc", "Tc"], "frac_coords": [[0.000, 0.623, 0.750], [0.000, 0.377, 0.250], [0.500, 0.285, 0.571], [0.500, 0.964, 0.750], [0.000, 0.000, 0.500], [0.500, 0.715, 0.429], [0.500, 0.285, 0.929], [0.500, 0.715, 0.071], [0.500, 0.036, 0.250], [0.000, 0.000, 0.000], [0.000, 0.191, 0.750], [0.000, 0.809, 0.250]]}

***

Entry 6:
{"formula": "AcAl11Tc", "functional": "GGA-PBE", "state": "optimized geometry", "spacegroup": "C2/m", "n_ef_per_ev_cell": 5.8, "energy_ev_per_atom": -4.52, "magmom_total_mub_per_cell": 0.00, "lattice": [[4.913, -0.020, 2.047], [2.384, 6.806, 0.993], [-0.016, -0.010, 6.958]], "species": ["Al", "Al", "Al", "Al", "Al", "Al", "Al", "Al", "Al", "Al", "Al", "Ac", "Tc"], "frac_coords": [[0.020, 0.637, 0.348], [0.724, 0.766, 0.776], [0.368, 0.637, 0.652], [0.500, 0.000, 0.500], [0.500, 0.234, 0.776], [0.980, 0.363, 0.652], [0.000, 0.000, 0.500], [0.632, 0.363, 0.348], [0.500, 0.766, 0.224], [0.276, 0.234, 0.224], [0.000, 0.500, 0.000], [0.000, 0.000, 0.000], [0.500, 0.500, 0.000]]}